# 1
DFT (GGA-PBE) results for a relaxed structure of TbZn.

POSCAR file:
```
TbZn
1.0
6.742 0.000 0.000
0.000 4.665 0.000
-3.088 0.000 8.743
Tb Zn
6 6
Direct
0.137 0.250 0.279 Tb
0.293 0.750 0.070 Tb
0.350 0.750 0.713 Tb
0.650 0.250 0.287 Tb
0.707 0.250 0.930 Tb
0.863 0.750 0.721 Tb
0.038 0.250 0.579 Zn
0.182 0.250 0.878 Zn
0.460 0.750 0.416 Zn
0.540 0.250 0.584 Zn
0.818 0.750 0.122 Zn
0.962 0.750 0.421 Zn
```

Properties
ΔE_f: -0.252 eV/atom
Crystal system: monoclinic
Calculated density: 8.13 g/cm3
Magnetic moment: 0.00 μB/cell
Uncorrected energy: -3.20 eV per atom



# 2
DFT (GGA-PBE) results for a relaxed structure of Tb3Zn11.

POSCAR file:
```
Tb3Zn11
1.0
-2.191 4.417 6.458
2.191 -4.417 6.458
2.191 4.417 -6.458
Tb Zn
3 11
Direct
0.000 0.000 0.000 Tb
0.295 0.295 0.000 Tb
0.705 0.705 0.000 Tb
0.018 0.658 0.360 Zn
0.141 0.860 0.281 Zn
0.297 0.658 0.640 Zn
0.316 0.500 0.816 Zn
0.421 0.140 0.281 Zn
0.500 0.000 0.500 Zn
0.579 0.860 0.719 Zn
0.684 0.500 0.184 Zn
0.703 0.342 0.360 Zn
0.859 0.140 0.719 Zn
0.982 0.342 0.640 Zn
```

Properties
ΔE_f: -0.338 eV/atom
Crystal system: orthorhombic
Calculated density: 7.95 g/cm3
Magnetic moment: 0.00 μB/cell
Uncorrected energy: -2.32 eV per atom



# 3
DFT (GGA-PBE) results for a relaxed structure of TbZn.

POSCAR file:
```
TbZn
1.0
7.076 0.000 0.000
0.000 5.031 0.000
-1.417 0.000 7.681
Tb Zn
6 6
Direct
0.000 0.000 0.000 Tb
0.018 0.500 0.305 Tb
0.139 0.000 0.607 Tb
0.528 0.500 0.314 Tb
0.649 0.000 0.616 Tb
0.669 0.500 0.921 Tb
0.226 0.500 0.965 Zn
0.323 0.000 0.290 Zn
0.345 0.500 0.631 Zn
0.442 0.000 0.955 Zn
0.729 0.000 0.239 Zn
0.938 0.500 0.681 Zn
```

Properties
ΔE_f: -0.230 eV/atom
Crystal system: monoclinic
Calculated density: 8.17 g/cm3
Magnetic moment: 0.01 μB/cell
Uncorrected energy: -3.18 eV per atom



# 4
DFT (GGA-PBE) results for a relaxed structure of TbZn.

POSCAR file:
```
TbZn
1.0
6.814 0.000 0.000
0.000 5.112 0.000
-1.532 0.000 7.920
Tb Zn
6 6
Direct
0.139 0.250 0.038 Tb
0.218 0.750 0.330 Tb
0.353 0.750 0.888 Tb
0.647 0.250 0.112 Tb
0.782 0.250 0.670 Tb
0.861 0.750 0.962 Tb
0.005 0.250 0.381 Zn
0.285 0.250 0.675 Zn
0.434 0.250 0.394 Zn
0.566 0.750 0.606 Zn
0.715 0.750 0.325 Zn
0.995 0.750 0.619 Zn
```

Properties
ΔE_f: -0.126 eV/atom
Crystal system: monoclinic
Calculated density: 8.10 g/cm3
Magnetic moment: 0.02 μB/cell
Uncorrected energy: -3.07 eV per atom



# 5
DFT (GGA-PBE) results for a relaxed structure of TbZn.

POSCAR file:
```
TbZn
1.0
6.883 0.000 0.000
0.000 4.650 0.000
-0.025 0.000 17.176
Tb Zn
12 12
Direct
0.029 0.250 0.116 Tb
0.029 0.750 0.384 Tb
0.336 0.750 0.039 Tb
0.337 0.250 0.461 Tb
0.456 0.250 0.667 Tb
0.456 0.750 0.833 Tb
0.544 0.250 0.167 Tb
0.544 0.750 0.333 Tb
0.663 0.750 0.539 Tb
0.664 0.250 0.961 Tb
0.971 0.250 0.616 Tb
0.971 0.750 0.884 Tb
0.150 0.750 0.710 Zn
0.151 0.250 0.790 Zn
0.217 0.250 0.940 Zn
0.217 0.750 0.560 Zn
0.236 0.250 0.291 Zn
0.236 0.750 0.209 Zn
0.764 0.250 0.791 Zn
0.764 0.750 0.709 Zn
0.783 0.250 0.440 Zn
0.783 0.750 0.060 Zn
0.849 0.750 0.210 Zn
0.850 0.250 0.290 Zn
```

Properties
ΔE_f: -0.270 eV/atom
Crystal system: monoclinic
Calculated density: 8.13 g/cm3
Magnetic moment: 0.05 μB/cell
Uncorrected energy: -3.22 eV per atom



# 6
DFT (GGA-PBE) results for a relaxed structure of TbZn.

POSCAR file:
```
TbZn
1.0
3.471 0.000 0.000
-1.736 3.006 0.000
0.000 0.000 4.696
Tb Zn
1 1
Direct
0.000 0.000 0.000 Tb
0.667 0.333 0.500 Zn
```

Properties
ΔE_f: -0.051 eV/atom
Crystal system: hexagonal
Calculated density: 7.60 g/cm3
Magnetic moment: 0.01 μB/cell
Uncorrected energy: -3.00 eV per atom



# 7
DFT (GGA-PBE) results for a relaxed structure of TbZn.

POSCAR file:
```
TbZn
1.0
4.613 0.000 0.000
0.000 8.008 0.000
0.000 0.000 5.039
Tb Zn
4 4
Direct
0.000 0.000 0.000 Tb
0.000 0.299 0.514 Tb
0.000 0.701 0.514 Tb
0.500 0.000 0.497 Tb
0.000 0.500 0.017 Zn
0.500 0.257 0.971 Zn
0.500 0.500 0.319 Zn
0.500 0.743 0.971 Zn
```

Properties
ΔE_f: -0.095 eV/atom
Crystal system: orthorhombic
Calculated density: 8.01 g/cm3
Magnetic moment: 0.04 μB/cell
Uncorrected energy: -3.04 eV per atom



# 8
DFT (GGA-PBE) results for a relaxed structure of TbZn.

POSCAR file:
```
TbZn
1.0
3.579 0.000 0.000
0.000 3.579 0.000
0.000 0.000 3.579
Tb Zn
1 1
Direct
0.000 0.000 0.000 Tb
0.500 0.500 0.500 Zn
```

Properties
ΔE_f: -0.342 eV/atom
Crystal system: cubic
Calculated density: 8.12 g/cm3
Magnetic moment: 0.16 μB/cell
Uncorrected energy: -3.29 eV per atom



Q: What is the calculated density in the second record?
A: 7.95 g/cm3



Q: Among the records above, which one has the highest ΔE_f?
A: number 6